# 1
DFT (PBEsol) results for an optimized crystal structure of YCoTcO2.

Geometry as CIF:
```
data_YCoTcO2
_chemical_formula_sum 'Y1 Co1 Tc1 O2'
_space_group_name_H-M_alt 'P 4/m m m'
_space_group_IT_number 123
_space_group_name_Hall '-P 4 2'
_cell_length_a 4.074
_cell_length_b 4.074
_cell_length_c 6.047
_cell_angle_alpha 90.00
_cell_angle_beta 90.00
_cell_angle_gamma 90.00
loop_
_atom_site_label
_atom_site_fract_x
_atom_site_fract_y
_atom_site_fract_z
Y1 0.000 0.000 0.000
Co1 0.500 0.500 0.500
Tc1 0.000 0.000 0.500
O1 0.000 0.500 0.000
```

Formation energy from raw total energies in eV/atom: 0.450
Calculated volume in Å³ per cell: 100.4

=====

# 2
DFT (PBEsol) results for an optimized crystal structure of Hf2SiB.

Geometry as CIF:
```
data_Hf2SiB
_chemical_formula_sum 'Hf8 Si4 B4'
_space_group_name_H-M_alt 'I -4 2 d'
_space_group_IT_number 122
_space_group_name_Hall 'I -4 2bw'
_cell_length_a 6.674
_cell_length_b 6.674
_cell_length_c 5.786
_cell_angle_alpha 90.00
_cell_angle_beta 90.00
_cell_angle_gamma 90.00
loop_
_atom_site_label
_atom_site_fract_x
_atom_site_fract_y
_atom_site_fract_z
Hf1 0.218 0.250 0.125
Si1 0.000 0.000 0.500
B1 0.000 0.000 0.000
```

Formation energy from raw total energies in eV/atom: -0.182
Calculated volume in Å³ per cell: 257.7

=====

# 3
DFT (PBEsol) results for an optimized crystal structure of LuGaNi.

Geometry as CIF:
```
data_LuGaNi
_chemical_formula_sum 'Lu4 Ga4 Ni4'
_space_group_name_H-M_alt 'P n m a'
_space_group_IT_number 62
_space_group_name_Hall '-P 2ac 2n'
_cell_length_a 6.550
_cell_length_b 4.152
_cell_length_c 7.213
_cell_angle_alpha 90.00
_cell_angle_beta 90.00
_cell_angle_gamma 90.00
loop_
_atom_site_label
_atom_site_fract_x
_atom_site_fract_y
_atom_site_fract_z
Lu1 0.020 0.250 0.191
Ga1 0.168 0.250 0.572
Ni1 0.220 0.750 0.397
```

E_form in meV per atom: -708
Calculated volume in Å³ per cell: 196.1

=====

# 4
DFT (PBEsol) results for an optimized crystal structure of DySi2Pt2.

Geometry as CIF:
```
data_DySi2Pt2
_chemical_formula_sum 'Dy2 Si4 Pt4'
_space_group_name_H-M_alt 'I 4/m m m'
_space_group_IT_number 139
_space_group_name_Hall '-I 4 2'
_cell_length_a 4.188
_cell_length_b 4.188
_cell_length_c 9.836
_cell_angle_alpha 90.00
_cell_angle_beta 90.00
_cell_angle_gamma 90.00
loop_
_atom_site_label
_atom_site_fract_x
_atom_site_fract_y
_atom_site_fract_z
Dy1 0.000 0.000 0.000
Si1 0.000 0.500 0.250
Pt1 0.000 0.000 0.366
```

Formation energy from raw total energies in eV/atom: -1.044
Calculated volume in Å³ per cell: 172.5

=====

# 5
DFT (PBEsol) results for an optimized crystal structure of MgNiSCl2.

Geometry as CIF:
```
data_MgNiSCl2
_chemical_formula_sum 'Mg1 Ni1 S1 Cl2'
_space_group_name_H-M_alt 'P 4/m m m'
_space_group_IT_number 123
_space_group_name_Hall '-P 4 2'
_cell_length_a 4.395
_cell_length_b 4.395
_cell_length_c 4.761
_cell_angle_alpha 90.00
_cell_angle_beta 90.00
_cell_angle_gamma 90.00
loop_
_atom_site_label
_atom_site_fract_x
_atom_site_fract_y
_atom_site_fract_z
Mg1 0.000 0.000 0.000
Ni1 0.500 0.500 0.500
S1 0.500 0.500 0.000
Cl1 0.000 0.500 0.500
```

Formation energy from raw total energies in eV/atom: -0.506
Calculated volume in Å³ per cell: 92.0

=====

# 6
DFT (PBEsol) results for an optimized crystal structure of LiTlBi3.

Geometry as CIF:
```
data_LiTlBi3
_chemical_formula_sum 'Li1 Tl1 Bi3'
_space_group_name_H-M_alt 'P m -3 m'
_space_group_IT_number 221
_space_group_name_Hall '-P 4 2 3'
_cell_length_a 5.813
_cell_length_b 5.813
_cell_length_c 5.813
_cell_angle_alpha 90.00
_cell_angle_beta 90.00
_cell_angle_gamma 90.00
loop_
_atom_site_label
_atom_site_fract_x
_atom_site_fract_y
_atom_site_fract_z
Li1 0.000 0.000 0.000
Tl1 0.500 0.500 0.500
Bi1 0.000 0.500 0.500
```

E_form in meV per atom: 621
Calculated volume in Å³ per cell: 196.5

=====

Q: Number 3 is which compound?
A: LuGaNi